Entry from Alexandria via LeMat-Bulk: crystalline Na3Br2O2 at its relaxed geometry (PBE-GGA).

abc: 4.032 4.536 16.850
angles: 90.00 90.00 90.00
Space group Immm (No. 71)
One atom of each set of equivalent atoms:
Na 0.000 0.000 0.000 (multiplicity 2)
Na 0.000 0.000 0.351 (multiplicity 4)
Br 0.000 0.000 0.167 (multiplicity 4)
O 0.169 0.500 0.000 (multiplicity 4)

Computed properties:
magnetic moment: 1.00 μB per formula unit
energy relative to the elements, uncorrected: -1.1631 eV/atom
raw total energy: -50.72 eV for the cell shown


Entry from Alexandria via LeMat-Bulk: crystalline NaOsBrO4 at its relaxed geometry (PBE-GGA).

abc: 10.789 7.510 8.616
angles: 90.00 115.82 90.00
Space group C2/m (No. 12)
One atom of each set of equivalent atoms:
Na 0.198 0.000 0.159 (multiplicity 4)
Os 0.114 0.500 0.297 (multiplicity 4)
Br 0.052 0.000 0.795 (multiplicity 4)
O 0.063 0.500 0.828 (multiplicity 4)
O 0.154 0.500 0.514 (multiplicity 4)
O 0.183 0.315 0.245 (multiplicity 8)

Computed properties:
magnetic moment: 0.00 μB per formula unit
energy relative to the elements, uncorrected: -1.0880 eV/atom
raw total energy: -166.68 eV for the cell shown


Entry from Alexandria via LeMat-Bulk: crystalline NaP2BrO at its relaxed geometry (PBE-GGA).

abc: 3.930 3.930 7.463
angles: 90.00 90.00 90.00
Space group P4/mmm (No. 123)
One atom of each set of equivalent atoms:
Na 0.000 0.000 0.000 (multiplicity 1)
P 0.000 0.500 0.500 (multiplicity 2)
Br 0.500 0.500 0.000 (multiplicity 1)
O 0.500 0.500 0.500 (multiplicity 1)

Computed properties:
magnetic moment: 0.00 μB per formula unit
energy relative to the elements, uncorrected: -0.0979 eV/atom
energy above the most stable polymorph in this dataset: 0.0 meV/atom
raw total energy: -19.26 eV for the cell shown